First-principles (meta-GGA SCAN) data for a PBEsol-optimized structure of Al8Ru, as listed in the Alexandria database.

Energy of formation (eV/atom): -0.2011
Magnetic moment (μB per atom): 0.003
Crystal system: tetragonal

abc: 8.419 8.419 3.886
angles: 90.00 90.00 90.00
Space group I4/mmm (No. 139)
Asymmetric unit:
Al: 0.000 0.324 0.000 [8 per cell]
Al: 0.159 0.159 0.500 [8 per cell]
Ru: 0.000 0.000 0.000 [2 per cell]

---

First-principles (meta-GGA SCAN) data for a PBEsol-optimized structure of Sr2TaNO3, as listed in the Alexandria database.

Magnetic moment (μB per atom): 0.000
E_form (uncorrected) (eV/f.u.): -19.20
Crystal system: orthorhombic

abc: 3.995 4.054 12.583
angles: 90.00 90.00 90.00
Space group Immm (No. 71)
Asymmetric unit:
Sr: 0.000 0.000 0.145 [4 per cell]
Ta: 0.000 0.000 0.500 [2 per cell]
N: 0.000 0.500 0.500 [2 per cell]
O: 0.000 0.000 0.339 [4 per cell]
O: 0.000 0.500 0.000 [2 per cell]

---

First-principles (meta-GGA SCAN) data for a PBEsol-optimized structure of Cd2TcPbSe, as listed in the Alexandria database.

Magnetic moment (μB per atom): 0.526
E_form (uncorrected) (eV/f.u.): 3.48
Crystal system: tetragonal

abc: 5.181 5.181 5.164
angles: 90.00 90.00 90.00
Space group P4/mmm (No. 123)
Asymmetric unit:
Cd: 0.000 0.500 0.000 [2 per cell]
Tc: 0.000 0.000 0.000 [1 per cell]
Pb: 0.000 0.000 0.500 [1 per cell]
Se: 0.500 0.500 0.500 [1 per cell]

---

First-principles (meta-GGA SCAN) data for a PBEsol-optimized structure of SrPt2Cl, as listed in the Alexandria database.

Magnetic moment (μB per atom): 0.000
E_form (uncorrected) (eV/f.u.): -1.20
Crystal system: tetragonal

abc: 4.809 4.809 6.775
angles: 90.00 90.00 90.00
Space group I-4m2 (No. 119)
Asymmetric unit:
Sr: 0.000 0.000 0.000 [2 per cell]
Pt: 0.000 0.000 0.500 [2 per cell]
Pt: 0.000 0.500 0.750 [2 per cell]
Cl: 0.000 0.500 0.250 [2 per cell]

---

First-principles (meta-GGA SCAN) data for a PBEsol-optimized structure of Li2VO2F2, as listed in the Alexandria database.

Magnetic moment (μB per atom): 0.143
E_form (uncorrected) (eV/f.u.): -20.25
Crystal system: trigonal

abc: 5.7318 5.7318 14.3572
angles: 90.00 90.00 120.00
Space group R3m (No. 160, hexagonal axes)
Asymmetric unit:
Li: 0.0000 0.0000 0.0000 [3 per cell]
Li: 0.1728 0.3456 0.4680 [9 per cell]
V: 0.0000 0.0000 0.2640 [3 per cell]
V: 0.0000 0.0000 0.6262 [3 per cell]
O: 0.0000 0.0000 0.3794 [3 per cell]
O: 0.1698 0.3396 0.2245 [9 per cell]
F: 0.0000 0.0000 0.8725 [3 per cell]
F: 0.0256 0.5128 0.3807 [9 per cell]

---

First-principles (meta-GGA SCAN) data for a PBEsol-optimized structure of Ti3SiAu, as listed in the Alexandria database.

Magnetic moment (μB per atom): 0.003
E_form (uncorrected) (eV/f.u.): 3.18
Crystal system: cubic

abc: 4.759 4.759 4.759
angles: 90.00 90.00 90.00
Space group Pm-3m (No. 221)
Asymmetric unit:
Ti: 0.000 0.000 0.500 [3 per cell]
Si: 0.500 0.500 0.500 [1 per cell]
Au: 0.000 0.000 0.000 [1 per cell]

---

First-principles (meta-GGA SCAN) data for a PBEsol-optimized structure of Li3TlBi, as listed in the Alexandria database.

Energy of formation (eV/atom): -0.1313
Magnetic moment (μB per atom): 0.000
Crystal system: cubic

abc: 5.220 5.220 5.220
angles: 90.00 90.00 90.00
Space group Pm-3m (No. 221)
Asymmetric unit:
Li: 0.000 0.000 0.500 [3 per cell]
Tl: 0.500 0.500 0.500 [1 per cell]
Bi: 0.000 0.000 0.000 [1 per cell]

---

First-principles (meta-GGA SCAN) data for a PBEsol-optimized structure of CrNiP2S, as listed in the Alexandria database.

Magnetic moment (μB per atom): 0.585
E_form (uncorrected) (eV/f.u.): 2.51
Crystal system: tetragonal

abc: 4.227 4.227 4.633
angles: 90.00 90.00 90.00
Space group P4/mmm (No. 123)
Asymmetric unit:
Cr: 0.000 0.000 0.000 [1 per cell]
Ni: 0.500 0.500 0.500 [1 per cell]
P: 0.000 0.500 0.500 [2 per cell]
S: 0.500 0.500 0.000 [1 per cell]

---

- Among the records above, which one has the highest magnetic moment?
  CrNiP2S

---

- What is the formula in the fourth record?
  SrPt2Cl